8
Lattice="3.858 0.000 0.000 0.000 4.717 0.000 0.000 0.000 11.124" Properties=species:S:1:pos:R:3 comment="Pm4CdPd3, relaxed, DFT PBE" final_energy_ev_per_atom=-5.104 space_group="Pmm2, No. 25" pbc="T T T"
Pm 0.000 0.000 0.000
Pm 0.000 2.359 2.908
Pm 1.929 0.000 5.267
Pm 1.929 2.359 8.615
Cd 0.000 0.000 7.817
Pd 0.000 2.359 6.026
Pd 1.929 0.000 2.343
Pd 1.929 2.359 0.502